[1]
AlReRh2 after structural relaxation, computed with GGA-PBE.

For the calculated volume, the calculation gives 14.4 Å³ per atom. The mass density is 12.12 g/cm3. The value obtained for the formation energy is -0.202 eV per atom. The electronic total energy is -7.925 eV/atom.

It has space group P2/m (No. 10), with a = 4.697 Å, b = 2.729 Å, c = 4.766 Å, α = 90.00°, β = 109.98° and γ = 90.00°. Symmetry generates all atoms from Al at (0.000, 0.000, 0.000), Re at (0.000, 0.500, 0.500), Rh at (0.500, 0.000, 0.500) and Rh at (0.500, 0.500, 0.000).

[2]
AlReRh3 after structural relaxation, computed with GGA-PBE.

For the calculated volume, the calculation gives 16.7 Å³ per atom. The mass density is 10.39 g/cm3. The value obtained for the formation energy is 0.969 eV per atom. The electronic total energy is -6.680 eV/atom.

It has space group Pm-3m (No. 221), with a = 4.369 Å, b = 4.369 Å, c = 4.369 Å, α = 90.00°, β = 90.00° and γ = 90.00°. Symmetry generates all atoms from Al at (0.000, 0.000, 0.000), Re at (0.500, 0.500, 0.500) and Rh at (0.000, 0.000, 0.500).

[3]
AlReRh after structural relaxation, computed with GGA-PBE.

For the calculated volume, the calculation gives 14.4 Å³ per atom. The mass density is 12.19 g/cm3. The value obtained for the formation energy is -0.222 eV per atom. The electronic total energy is -8.069 eV/atom.

It has space group Imm2 (No. 44), with a = 2.759 Å, b = 3.768 Å, c = 8.283 Å, α = 90.00°, β = 90.00° and γ = 90.00°. Symmetry generates all atoms from Al at (0.000, 0.000, 0.000), Re at (0.000, 0.000, 0.668) and Rh at (0.000, 0.000, 0.339).

[4]
AlRe3Rh after structural relaxation, computed with GGA-PBE.

For the calculated volume, the calculation gives 16.9 Å³ per atom. The mass density is 13.50 g/cm3. The value obtained for the formation energy is 1.781 eV per atom. The electronic total energy is -7.906 eV/atom.

It has space group Pm-3m (No. 221), with a = 4.392 Å, b = 4.392 Å, c = 4.392 Å, α = 90.00°, β = 90.00° and γ = 90.00°. Symmetry generates all atoms from Al at (0.000, 0.000, 0.000), Re at (0.000, 0.000, 0.500) and Rh at (0.500, 0.500, 0.500).

[5]
AlReRh2 after structural relaxation, computed with GGA-PBE.

For the calculated volume, the calculation gives 14.4 Å³ per atom. The mass density is 12.07 g/cm3. The value obtained for the formation energy is -0.136 eV per atom. The electronic total energy is -7.859 eV/atom.

It has space group Pmmm (No. 47), with a = 2.818 Å, b = 4.470 Å, c = 4.577 Å, α = 90.00°, β = 90.00° and γ = 90.00°. Symmetry generates all atoms from Al at (0.000, 0.000, 0.000), Re at (0.500, 0.000, 0.500), Rh at (0.000, 0.500, 0.500) and Rh at (0.500, 0.500, 0.000).

[6]
AlRe2Rh2 after structural relaxation, computed with GGA-PBE.

For the calculated volume, the calculation gives 15.6 Å³ per atom. The mass density is 12.90 g/cm3. The value obtained for the formation energy is 0.188 eV per atom. The electronic total energy is -8.481 eV/atom.

It has space group P4/mbm (No. 127), with a = 7.560 Å, b = 7.560 Å, c = 2.726 Å, α = 90.00°, β = 90.00° and γ = 90.00°. Symmetry generates all atoms from Al at (0.000, 0.000, 0.000), Re at (0.175, 0.325, 0.500) and Rh at (0.122, 0.622, 0.000).